P | Here is TbI3O9 after structural relaxation from OQMD. Energies are from PBE.

a b c (Å): 7.051 8.325 13.221
angles (deg): 90.00 100.23 90.00
Space group P2_1/c (No. 14)
Inequivalent atoms, fractional coordinates:
Tb (0.176, 0.243, 0.145) (multiplicity 4)
I (0.169, 0.716, 0.114) (multiplicity 4)
I (0.275, 0.012, 0.889) (multiplicity 4)
I (0.332, 0.536, 0.863) (multiplicity 4)
O (0.016, 0.520, 0.384) (multiplicity 4)
O (0.037, 0.170, 0.485) (multiplicity 4)
O (0.146, 0.691, 0.825) (multiplicity 4)
O (0.163, 0.530, 0.188) (multiplicity 4)
O (0.247, 0.211, 0.827) (multiplicity 4)
O (0.323, 0.063, 0.026) (multiplicity 4)
O (0.352, 0.029, 0.232) (multiplicity 4)
O (0.366, 0.667, 0.046) (multiplicity 4)
O (0.467, 0.173, 0.625) (multiplicity 4)

density	5.95	g/cm3



Q | Here is TbI3O9 after structural relaxation from OQMD. Energies are from PBE.

a b c (Å): 8.633 5.785 16.181
angles (deg): 90.00 114.90 90.00
Space group P2_1/c (No. 14)
Inequivalent atoms, fractional coordinates:
Tb (0.139, 0.229, 0.100) (multiplicity 4)
I (0.076, 0.188, 0.349) (multiplicity 4)
I (0.362, 0.653, 0.524) (multiplicity 4)
I (0.418, 0.598, 0.798) (multiplicity 4)
O (0.062, 0.064, 0.704) (multiplicity 4)
O (0.101, 0.090, 0.462) (multiplicity 4)
O (0.102, 0.605, 0.674) (multiplicity 4)
O (0.130, 0.601, 0.491) (multiplicity 4)
O (0.338, 0.592, 0.888) (multiplicity 4)
O (0.344, 0.196, 0.258) (multiplicity 4)
O (0.357, 0.086, 0.944) (multiplicity 4)
O (0.361, 0.506, 0.133) (multiplicity 4)
O (0.403, 0.034, 0.124) (multiplicity 4)

density	6.19	g/cm3



Most stable to least stable: Q, P



P | Here is OsI4 after structural relaxation from OQMD. Energies are from PBE.

a b c (Å): 7.210 8.207 6.855
angles (deg): 90.00 108.84 90.00
Space group P2/c (No. 13)
Inequivalent atoms, fractional coordinates:
Os (0.000, 0.135, 0.250) (multiplicity 2)
I (0.214, 0.109, 0.996) (multiplicity 4)
I (0.242, 0.356, 0.471) (multiplicity 4)

density	6.04	g/cm3



Q | Here is OsI4 after structural relaxation from OQMD. Energies are from PBE.

a b c (Å): 11.494 11.570 12.549
angles (deg): 90.00 115.74 90.00
Space group C2/c (No. 15)
Inequivalent atoms, fractional coordinates:
Os (0.067, 0.127, 0.124) (multiplicity 8)
I (0.051, 0.354, 0.110) (multiplicity 8)
I (0.059, 0.110, 0.613) (multiplicity 8)
I (0.163, 0.119, 0.361) (multiplicity 8)
I (0.199, 0.375, 0.865) (multiplicity 8)

density	6.17	g/cm3



Most stable to least stable: P, Q



P | Here is Os2I after structural relaxation from OQMD. Energies are from PBE.

a b c (Å): 11.711 11.711 11.711
angles (deg): 90.00 90.00 90.00
Space group Fd-3m (No. 227, origin choice 2)
Inequivalent atoms, fractional coordinates:
Os (0.000, 0.000, 0.000) (multiplicity 16)
I (0.125, 0.125, 0.125) (multiplicity 8)

density	4.20	g/cm3



Q | Here is Os2I after structural relaxation from OQMD. Energies are from PBE.

a b c (Å): 7.621 7.621 7.621
angles (deg): 90.00 90.00 90.00
Space group Fd-3m (No. 227, origin choice 2)
Inequivalent atoms, fractional coordinates:
Os (0.000, 0.000, 0.000) (multiplicity 16)
I (0.125, 0.125, 0.625) (multiplicity 8)

density	15.23	g/cm3



Most stable to least stable: Q, P



P | Here is PtI4 after structural relaxation from OQMD. Energies are from PBE.

a b c (Å): 6.677 8.070 6.985
angles (deg): 90.00 107.15 90.00
Space group P2/c (No. 13)
Inequivalent atoms, fractional coordinates:
Pt (0.000, 0.120, 0.250) (multiplicity 2)
I (0.232, 0.120, 0.992) (multiplicity 4)
I (0.258, 0.355, 0.464) (multiplicity 4)

density	6.49	g/cm3



Q | Here is PtI4 after structural relaxation from OQMD. Energies are from PBE.

a b c (Å): 8.227 11.934 13.872
angles (deg): 90.00 90.00 90.00
Space group Cmc2_1 (No. 36)
Inequivalent atoms, fractional coordinates:
Pt (0.250, 0.123, 0.000) (multiplicity 8)
I (0.000, 0.006, 0.081) (multiplicity 4)
I (0.000, 0.241, 0.919) (multiplicity 4)
I (0.000, 0.259, 0.419) (multiplicity 4)
I (0.000, 0.494, 0.581) (multiplicity 4)
I (0.249, 0.019, 0.347) (multiplicity 8)
I (0.249, 0.266, 0.154) (multiplicity 8)

density	6.85	g/cm3



Most stable to least stable: P, Q